Below is a relaxed structure of RbNiTeAuS2, with properties calculated at the PBE level.

Properties
E_tot: -3.825 eV per atom
total magnetization: 0.2 μB/cell

```
data_RbNiTeAuS2
_chemical_formula_sum 'Rb4 Ni4 Te4 Au4 S8'
_cell_length_a 3.449
_cell_length_b 17.345
_cell_length_c 10.364
_cell_angle_alpha 90.00
_cell_angle_beta 90.00
_cell_angle_gamma 90.00
_space_group_name_H-M_alt 'C m c m'
_space_group_IT_number 63
_space_group_name_Hall '-C 2c 2'
loop_
_atom_site_label
_atom_site_type_symbol
_atom_site_fract_x
_atom_site_fract_y
_atom_site_fract_z
Rb1 Rb 0.000 0.237 0.250
Ni1 Ni 0.000 0.500 0.000
Te1 Te 0.000 0.443 0.750
Au1 Au 0.000 0.098 0.750
S1 S 0.000 0.088 0.524
```



Below is a relaxed structure of RbNiAuSe3, with properties calculated at the PBE level.

Properties
E_tot: -3.664 eV per atom
total magnetization: 0.1 μB/cell

```
data_RbNiAuSe3
_chemical_formula_sum 'Rb4 Ni4 Au4 Se12'
_cell_length_a 3.631
_cell_length_b 16.461
_cell_length_c 10.397
_cell_angle_alpha 90.00
_cell_angle_beta 90.00
_cell_angle_gamma 90.00
_space_group_name_H-M_alt 'C m c m'
_space_group_IT_number 63
_space_group_name_Hall '-C 2c 2'
loop_
_atom_site_label
_atom_site_type_symbol
_atom_site_fract_x
_atom_site_fract_y
_atom_site_fract_z
Rb1 Rb 0.000 0.227 0.250
Ni1 Ni 0.000 0.500 0.000
Au1 Au 0.000 0.097 0.750
Se1 Se 0.000 0.097 0.514
Se2 Se 0.000 0.457 0.750
```



Below is a relaxed structure of RbNiTeAuSe2, with properties calculated at the PBE level.

Properties
E_tot: -3.625 eV per atom
total magnetization: 0.2 μB/cell

```
data_RbNiTeAuSe2
_chemical_formula_sum 'Rb4 Ni4 Te4 Au4 Se8'
_cell_length_a 3.618
_cell_length_b 17.264
_cell_length_c 10.589
_cell_angle_alpha 90.00
_cell_angle_beta 90.00
_cell_angle_gamma 90.00
_space_group_name_H-M_alt 'C m c m'
_space_group_IT_number 63
_space_group_name_Hall '-C 2c 2'
loop_
_atom_site_label
_atom_site_type_symbol
_atom_site_fract_x
_atom_site_fract_y
_atom_site_fract_z
Rb1 Rb 0.000 0.231 0.250
Ni1 Ni 0.000 0.500 0.000
Te1 Te 0.000 0.452 0.750
Au1 Au 0.000 0.103 0.750
Se1 Se 0.000 0.094 0.517
```



Below is a relaxed structure of RbNiTe3Au, with properties calculated at the PBE level.

Properties
E_tot: -3.464 eV per atom
total magnetization: 0.0 μB/cell

```
data_RbNiTe3Au
_chemical_formula_sum 'Rb4 Ni4 Te12 Au4'
_cell_length_a 3.871
_cell_length_b 16.788
_cell_length_c 11.118
_cell_angle_alpha 90.00
_cell_angle_beta 90.00
_cell_angle_gamma 90.00
_space_group_name_H-M_alt 'C m c m'
_space_group_IT_number 63
_space_group_name_Hall '-C 2c 2'
loop_
_atom_site_label
_atom_site_type_symbol
_atom_site_fract_x
_atom_site_fract_y
_atom_site_fract_z
Rb1 Rb 0.000 0.245 0.250
Ni1 Ni 0.000 0.500 0.000
Te1 Te 0.000 0.102 0.512
Te2 Te 0.000 0.452 0.750
Au1 Au 0.000 0.085 0.750
```



Below is a relaxed structure of TlNiAuSe2S, with properties calculated at the PBE level.

Properties
E_tot: -3.823 eV per atom
total magnetization: 0.0 μB/cell

```
data_TlNiAuSe2S
_chemical_formula_sum 'Tl4 Ni4 Au4 Se8 S4'
_cell_length_a 3.688
_cell_length_b 12.890
_cell_length_c 10.785
_cell_angle_alpha 90.00
_cell_angle_beta 90.00
_cell_angle_gamma 90.00
_space_group_name_H-M_alt 'C m c m'
_space_group_IT_number 63
_space_group_name_Hall '-C 2c 2'
loop_
_atom_site_label
_atom_site_type_symbol
_atom_site_fract_x
_atom_site_fract_y
_atom_site_fract_z
Tl1 Tl 0.000 0.194 0.250
Ni1 Ni 0.000 0.500 0.000
Au1 Au 0.000 0.130 0.750
Se1 Se 0.000 0.118 0.517
S1 S 0.000 0.475 0.750
```



Below is a relaxed structure of TlNiAuSeS2, with properties calculated at the PBE level.

Properties
E_tot: -3.960 eV per atom
total magnetization: 0.0 μB/cell

```
data_TlNiAuSeS2
_chemical_formula_sum 'Tl4 Ni4 Au4 Se4 S8'
_cell_length_a 3.424
_cell_length_b 14.672
_cell_length_c 10.213
_cell_angle_alpha 90.00
_cell_angle_beta 90.00
_cell_angle_gamma 90.00
_space_group_name_H-M_alt 'C m c m'
_space_group_IT_number 63
_space_group_name_Hall '-C 2c 2'
loop_
_atom_site_label
_atom_site_type_symbol
_atom_site_fract_x
_atom_site_fract_y
_atom_site_fract_z
Tl1 Tl 0.000 0.204 0.250
Ni1 Ni 0.000 0.500 0.000
Au1 Au 0.000 0.128 0.750
Se1 Se 0.000 0.467 0.750
S1 S 0.000 0.102 0.518
```



Below is a relaxed structure of TlNiTeAuS2, with properties calculated at the PBE level.

Properties
E_tot: -3.902 eV per atom
total magnetization: 0.0 μB/cell

```
data_TlNiTeAuS2
_chemical_formula_sum 'Tl4 Ni4 Te4 Au4 S8'
_cell_length_a 3.407
_cell_length_b 15.610
_cell_length_c 10.496
_cell_angle_alpha 90.00
_cell_angle_beta 90.00
_cell_angle_gamma 90.00
_space_group_name_H-M_alt 'C m c m'
_space_group_IT_number 63
_space_group_name_Hall '-C 2c 2'
loop_
_atom_site_label
_atom_site_type_symbol
_atom_site_fract_x
_atom_site_fract_y
_atom_site_fract_z
Tl1 Tl 0.000 0.220 0.250
Ni1 Ni 0.000 0.500 0.000
Te1 Te 0.000 0.456 0.750
Au1 Au 0.000 0.121 0.750
S1 S 0.000 0.097 0.522
```



Below is a relaxed structure of TlNiTe2AuS, with properties calculated at the PBE level.

Properties
E_tot: -3.658 eV per atom
total magnetization: 0.0 μB/cell

```
data_TlNiTe2AuS
_chemical_formula_sum 'Tl4 Ni4 Te8 Au4 S4'
_cell_length_a 3.968
_cell_length_b 16.529
_cell_length_c 9.538
_cell_angle_alpha 90.00
_cell_angle_beta 90.00
_cell_angle_gamma 90.00
_space_group_name_H-M_alt 'C m c m'
_space_group_IT_number 63
_space_group_name_Hall '-C 2c 2'
loop_
_atom_site_label
_atom_site_type_symbol
_atom_site_fract_x
_atom_site_fract_y
_atom_site_fract_z
Tl1 Tl 0.000 0.243 0.250
Ni1 Ni 0.000 0.500 0.000
Te1 Te 0.000 0.101 0.029
Au1 Au 0.000 0.133 0.750
S1 S 0.000 0.469 0.250
```



Below is a relaxed structure of Ni3Sb5Au, with properties calculated at the PBE level.

Properties
E_tot: -4.532 eV per atom
total magnetization: 0.0 μB/cell

```
data_Ni3Sb5Au
_chemical_formula_sum 'Ni3 Sb5 Au1'
_cell_length_a 5.2638
_cell_length_b 5.2638
_cell_length_c 7.8371
_cell_angle_alpha 90.00
_cell_angle_beta 90.00
_cell_angle_gamma 120.00
_space_group_name_H-M_alt 'P 6/m m m'
_space_group_IT_number 191
_space_group_name_Hall '-P 6 2'
loop_
_atom_site_label
_atom_site_type_symbol
_atom_site_fract_x
_atom_site_fract_y
_atom_site_fract_z
Ni1 Ni 0.0000 0.5000 0.0000
Sb1 Sb 0.0000 0.0000 0.0000
Sb2 Sb 0.3333 0.6667 0.2830
Au1 Au 0.0000 0.0000 0.5000
```



Below is a relaxed structure of ScNiSbAu, with properties calculated at the PBE level.

Properties
E_tot: -5.214 eV per atom
total magnetization: 0.0 μB/cell

```
data_ScNiSbAu
_chemical_formula_sum 'Sc4 Ni4 Sb4 Au4'
_cell_length_a 6.612
_cell_length_b 6.612
_cell_length_c 6.612
_cell_angle_alpha 90.00
_cell_angle_beta 90.00
_cell_angle_gamma 90.00
_space_group_name_H-M_alt 'F -4 3 m'
_space_group_IT_number 216
_space_group_name_Hall 'F -4 2 3'
loop_
_atom_site_label
_atom_site_type_symbol
_atom_site_fract_x
_atom_site_fract_y
_atom_site_fract_z
Sc1 Sc 0.000 0.000 0.000
Ni1 Ni 0.000 0.000 0.500
Sb1 Sb 0.250 0.250 0.250
Au1 Au 0.250 0.250 0.750
```



Below is a relaxed structure of TcNiSbAu, with properties calculated at the PBE level.

Properties
E_tot: -5.641 eV per atom
total magnetization: 0.1 μB/cell

```
data_TcNiSbAu
_chemical_formula_sum 'Tc4 Ni4 Sb4 Au4'
_cell_length_a 6.365
_cell_length_b 6.365
_cell_length_c 6.365
_cell_angle_alpha 90.00
_cell_angle_beta 90.00
_cell_angle_gamma 90.00
_space_group_name_H-M_alt 'F -4 3 m'
_space_group_IT_number 216
_space_group_name_Hall 'F -4 2 3'
loop_
_atom_site_label
_atom_site_type_symbol
_atom_site_fract_x
_atom_site_fract_y
_atom_site_fract_z
Tc1 Tc 0.000 0.000 0.000
Ni1 Ni 0.000 0.000 0.500
Sb1 Sb 0.250 0.250 0.250
Au1 Au 0.250 0.250 0.750
```



Below is a relaxed structure of Sc2NiAu2, with properties calculated at the PBE level.

Properties
E_tot: -4.958 eV per atom
total magnetization: 0.3 μB/cell

```
data_Sc2NiAu2
_chemical_formula_sum 'Sc4 Ni2 Au4'
_cell_length_a 4.538
_cell_length_b 4.538
_cell_length_c 10.649
_cell_angle_alpha 90.00
_cell_angle_beta 90.00
_cell_angle_gamma 90.00
_space_group_name_H-M_alt 'I 4/m m m'
_space_group_IT_number 139
_space_group_name_Hall '-I 4 2'
loop_
_atom_site_label
_atom_site_type_symbol
_atom_site_fract_x
_atom_site_fract_y
_atom_site_fract_z
Sc1 Sc 0.000 0.500 0.250
Ni1 Ni 0.000 0.000 0.000
Au1 Au 0.000 0.000 0.381
```



Below is a relaxed structure of Sc2NiAu2, with properties calculated at the PBE level.

Properties
E_tot: -5.129 eV per atom
total magnetization: 0.0 μB/cell

```
data_Sc2NiAu2
_chemical_formula_sum 'Sc4 Ni2 Au4'
_cell_length_a 3.718
_cell_length_b 3.718
_cell_length_c 14.726
_cell_angle_alpha 90.00
_cell_angle_beta 90.00
_cell_angle_gamma 90.00
_space_group_name_H-M_alt 'I 4/m m m'
_space_group_IT_number 139
_space_group_name_Hall '-I 4 2'
loop_
_atom_site_label
_atom_site_type_symbol
_atom_site_fract_x
_atom_site_fract_y
_atom_site_fract_z
Sc1 Sc 0.000 0.000 0.097
Ni1 Ni 0.000 0.000 0.500
Au1 Au 0.000 0.500 0.250
```



Below is a relaxed structure of Sc2NiAu3, with properties calculated at the PBE level.

Properties
E_tot: -5.359 eV per atom
total magnetization: 0.0 μB/cell

```
data_Sc2NiAu3
_chemical_formula_sum 'Sc2 Ni1 Au3'
_cell_length_a 3.487
_cell_length_b 3.487
_cell_length_c 8.740
_cell_angle_alpha 90.00
_cell_angle_beta 90.00
_cell_angle_gamma 90.00
_space_group_name_H-M_alt 'P 4 m m'
_space_group_IT_number 99
_space_group_name_Hall 'P 4 -2'
loop_
_atom_site_label
_atom_site_type_symbol
_atom_site_fract_x
_atom_site_fract_y
_atom_site_fract_z
Sc1 Sc 0.000 0.000 0.000
Sc2 Sc 0.500 0.500 0.479
Ni1 Ni 0.500 0.500 0.152
Au1 Au 0.000 0.000 0.313
Au2 Au 0.000 0.000 0.648
Au3 Au 0.500 0.500 0.837
```



Below is a relaxed structure of ScNi2Au, with properties calculated at the PBE level.

Properties
E_tot: -5.500 eV per atom
total magnetization: 0.0 μB/cell

```
data_ScNi2Au
_chemical_formula_sum 'Sc4 Ni8 Au4'
_cell_length_a 6.219
_cell_length_b 6.219
_cell_length_c 6.219
_cell_angle_alpha 90.00
_cell_angle_beta 90.00
_cell_angle_gamma 90.00
_space_group_name_H-M_alt 'F -4 3 m'
_space_group_IT_number 216
_space_group_name_Hall 'F -4 2 3'
loop_
_atom_site_label
_atom_site_type_symbol
_atom_site_fract_x
_atom_site_fract_y
_atom_site_fract_z
Sc1 Sc 0.000 0.000 0.000
Ni1 Ni 0.000 0.000 0.500
Ni2 Ni 0.250 0.250 0.750
Au1 Au 0.250 0.250 0.250
```



Below is a relaxed structure of ScTlNiAu, with properties calculated at the PBE level.

Properties
E_tot: -4.623 eV per atom
total magnetization: 0.0 μB/cell

```
data_ScTlNiAu
_chemical_formula_sum 'Sc4 Tl4 Ni4 Au4'
_cell_length_a 6.615
_cell_length_b 6.615
_cell_length_c 6.615
_cell_angle_alpha 90.00
_cell_angle_beta 90.00
_cell_angle_gamma 90.00
_space_group_name_H-M_alt 'F -4 3 m'
_space_group_IT_number 216
_space_group_name_Hall 'F -4 2 3'
loop_
_atom_site_label
_atom_site_type_symbol
_atom_site_fract_x
_atom_site_fract_y
_atom_site_fract_z
Sc1 Sc 0.000 0.000 0.000
Tl1 Tl 0.250 0.250 0.250
Ni1 Ni 0.000 0.000 0.500
Au1 Au 0.250 0.250 0.750
```



Below is a relaxed structure of ScZnNiAu, with properties calculated at the PBE level.

Properties
E_tot: -4.482 eV per atom
total magnetization: 0.0 μB/cell

```
data_ScZnNiAu
_chemical_formula_sum 'Sc4 Zn4 Ni4 Au4'
_cell_length_a 6.353
_cell_length_b 6.353
_cell_length_c 6.353
_cell_angle_alpha 90.00
_cell_angle_beta 90.00
_cell_angle_gamma 90.00
_space_group_name_H-M_alt 'F -4 3 m'
_space_group_IT_number 216
_space_group_name_Hall 'F -4 2 3'
loop_
_atom_site_label
_atom_site_type_symbol
_atom_site_fract_x
_atom_site_fract_y
_atom_site_fract_z
Sc1 Sc 0.000 0.000 0.000
Zn1 Zn 0.250 0.250 0.250
Ni1 Ni 0.000 0.000 0.500
Au1 Au 0.250 0.250 0.750
```



Below is a relaxed structure of Ni3AuSe5, with properties calculated at the PBE level.

Properties
E_tot: -4.099 eV per atom
total magnetization: 0.1 μB/cell

```
data_Ni3AuSe5
_chemical_formula_sum 'Ni3 Au1 Se5'
_cell_length_a 5.3341
_cell_length_b 5.3341
_cell_length_c 6.8648
_cell_angle_alpha 90.00
_cell_angle_beta 90.00
_cell_angle_gamma 120.00
_space_group_name_H-M_alt 'P 6/m m m'
_space_group_IT_number 191
_space_group_name_Hall '-P 6 2'
loop_
_atom_site_label
_atom_site_type_symbol
_atom_site_fract_x
_atom_site_fract_y
_atom_site_fract_z
Ni1 Ni 0.0000 0.5000 0.0000
Au1 Au 0.0000 0.0000 0.5000
Se1 Se 0.0000 0.0000 0.0000
Se2 Se 0.3333 0.6667 0.2634
```



Below is a relaxed structure of TlNiTeAuSe2, with properties calculated at the PBE level.

Properties
E_tot: -3.712 eV per atom
total magnetization: 0.0 μB/cell

```
data_TlNiTeAuSe2
_chemical_formula_sum 'Tl4 Ni4 Te4 Au4 Se8'
_cell_length_a 3.563
_cell_length_b 15.238
_cell_length_c 10.779
_cell_angle_alpha 90.00
_cell_angle_beta 90.00
_cell_angle_gamma 90.00
_space_group_name_H-M_alt 'C m c m'
_space_group_IT_number 63
_space_group_name_Hall '-C 2c 2'
loop_
_atom_site_label
_atom_site_type_symbol
_atom_site_fract_x
_atom_site_fract_y
_atom_site_fract_z
Tl1 Tl 0.000 0.215 0.250
Ni1 Ni 0.000 0.500 0.000
Te1 Te 0.000 0.467 0.750
Au1 Au 0.000 0.128 0.750
Se1 Se 0.000 0.106 0.515
```



Below is a relaxed structure of TlNiTe2AuSe, with properties calculated at the PBE level.

Properties
E_tot: -3.587 eV per atom
total magnetization: 0.0 μB/cell

```
data_TlNiTe2AuSe
_chemical_formula_sum 'Tl4 Ni4 Te8 Au4 Se4'
_cell_length_a 3.869
_cell_length_b 14.652
_cell_length_c 10.922
_cell_angle_alpha 90.00
_cell_angle_beta 90.00
_cell_angle_gamma 90.00
_space_group_name_H-M_alt 'C m c m'
_space_group_IT_number 63
_space_group_name_Hall '-C 2c 2'
loop_
_atom_site_label
_atom_site_type_symbol
_atom_site_fract_x
_atom_site_fract_y
_atom_site_fract_z
Tl1 Tl 0.000 0.228 0.250
Ni1 Ni 0.000 0.500 0.000
Te1 Te 0.000 0.114 0.503
Au1 Au 0.000 0.120 0.750
Se1 Se 0.000 0.488 0.750
```